1.
Computed, not measured: an optimized crystal structure of LaMg2Os at the PBE-GGA level of DFT.

The electronic total energy is -53.618 eV for the cell shown. The value obtained for the energy of formation from the pure elements is 0.368 eV per atom. Its size of the total moment is 1.1 μB/cell.

The structure belongs to space group R3m (No. 160, hexagonal axes); the cell edges are 3.1760, 3.1760 and 30.6788 Å and the angles 90.00°, 90.00° and 120.00°. Symmetry generates all atoms from La at (0.0000, 0.0000, 0.0000), Mg at (0.0000, 0.0000, 0.2305), Mg at (0.0000, 0.0000, 0.4748) and Os at (0.0000, 0.0000, 0.7417).

---

2.
Computed, not measured: an optimized crystal structure of CoBiBPb2 at the PBE-GGA level of DFT.

The electronic total energy is -16.126 eV for the cell shown. The value obtained for the energy of formation from the pure elements is 1.791 eV per atom. Its size of the total moment is 1.3 μB/cell.

The structure belongs to space group P4/mmm (No. 123); the cell edges are 6.0886, 6.0886 and 4.7820 Å and the angles 90.00°, 90.00° and 90.00°. Symmetry generates all atoms from Co at (0.0000, 0.0000, 0.0000), Bi at (0.0000, 0.0000, 0.5000), B at (0.5000, 0.5000, 0.0000) and Pb at (0.0000, 0.5000, 0.5000).

---

3.
Computed, not measured: an optimized crystal structure of CdTePH at the PBE-GGA level of DFT.

The electronic total energy is -24.059 eV for the cell shown. The energy above the most stable polymorph in this dataset comes out at 255 meV/atom. Its size of the total moment is 0.0 μB/cell.

The structure belongs to space group Amm2 (No. 38); the cell edges are 3.8775, 4.1116 and 11.5118 Å and the angles 90.00°, 90.00° and 90.00°. Symmetry generates all atoms from Cd at (0.0000, 0.0000, 0.0000), Te at (0.0000, 0.0000, 0.7304), P at (0.5000, 0.0000, 0.2425) and H at (0.5000, 0.0000, 0.3685).

---

4.
Computed, not measured: an optimized crystal structure of SrSiMo2 at the PBE-GGA level of DFT.

As for the uncorrected formation energy: 0.6660 eV/atom. The electronic total energy is -104.412 eV for the cell shown. Its size of the total moment is 0.0 μB/cell.

The structure belongs to space group I-42d (No. 122); the cell edges are 4.5993, 4.5993 and 18.3841 Å and the angles 90.00°, 90.00° and 90.00°. Symmetry generates all atoms from Sr at (0.0000, 0.0000, 0.0000), Si at (0.0000, 0.0000, 0.5000) and Mo at (0.0701, 0.7500, 0.6250).

---

5.
Computed, not measured: an optimized crystal structure of Zr2Ta at the PBE-GGA level of DFT.

The electronic total energy is -218.844 eV for the cell shown. The value obtained for the energy of formation from the pure elements is 0.531 eV per atom. Its size of the total moment is 0.0 μB/cell.

The structure belongs to space group Fd-3m (No. 227, origin choice 2); the cell edges are 7.9960, 7.9960 and 7.9960 Å and the angles 90.00°, 90.00° and 90.00°. Symmetry generates all atoms from Zr at (0.0000, 0.0000, 0.0000) and Ta at (0.1250, 0.1250, 0.6250).

---

6.
Computed, not measured: an optimized crystal structure of CsSr2CSe at the PBE-GGA level of DFT.

As for the uncorrected formation energy: 0.5369 eV/atom. The electronic total energy is -14.241 eV for the cell shown. Its size of the total moment is 1.9 μB/cell.

The structure belongs to space group P4/mmm (No. 123); the cell edges are 5.8694, 5.8694 and 7.0035 Å and the angles 90.00°, 90.00° and 90.00°. Symmetry generates all atoms from Cs at (0.0000, 0.0000, 0.0000), Sr at (0.0000, 0.5000, 0.5000), C at (0.5000, 0.5000, 0.0000) and Se at (0.0000, 0.0000, 0.5000).

---

7.
Computed, not measured: an optimized crystal structure of CaTc3Hg at the PBE-GGA level of DFT.

The electronic total energy is -23.390 eV for the cell shown. The value obtained for the energy of formation from the pure elements is 2.002 eV per atom. The energy above the most stable polymorph in this dataset comes out at 0 meV/atom. Its size of the total moment is 8.8 μB/cell.

The structure belongs to space group Pm-3m (No. 221); the cell edges are 5.1214, 5.1214 and 5.1214 Å and the angles 90.00°, 90.00° and 90.00°. Symmetry generates all atoms from Ca at (0.0000, 0.0000, 0.0000), Tc at (0.0000, 0.5000, 0.5000) and Hg at (0.5000, 0.5000, 0.5000).

---

8.
Computed, not measured: an optimized crystal structure of Fe2SiCl at the PBE-GGA level of DFT.

As for the uncorrected formation energy: 0.1571 eV/atom. The electronic total energy is -70.700 eV for the cell shown. The energy above the most stable polymorph in this dataset comes out at 240 meV/atom. Its size of the total moment is 15.5 μB/cell.

The structure belongs to space group R3m (No. 160, hexagonal axes); the cell edges are 3.0902, 3.0902 and 22.5982 Å and the angles 90.00°, 90.00° and 120.00°. Symmetry generates all atoms from Fe at (0.0000, 0.0000, 0.0000), Fe at (0.0000, 0.0000, 0.2560), Si at (0.0000, 0.0000, 0.5232) and Cl at (0.0000, 0.0000, 0.7388).

---

9.
Computed, not measured: an optimized crystal structure of SiP3O at the PBE-GGA level of DFT.

As for the uncorrected formation energy: 1.2303 eV/atom. The electronic total energy is -20.459 eV for the cell shown. The energy above the most stable polymorph in this dataset comes out at 538 meV/atom. Its size of the total moment is 0.0 μB/cell.

The structure belongs to space group Pm-3m (No. 221); the cell edges are 4.4117, 4.4117 and 4.4117 Å and the angles 90.00°, 90.00° and 90.00°. Symmetry generates all atoms from Si at (0.0000, 0.0000, 0.0000), P at (0.0000, 0.0000, 0.5000) and O at (0.5000, 0.5000, 0.5000).

---

10.
Computed, not measured: an optimized crystal structure of Y3HfV at the PBE-GGA level of DFT.

The electronic total energy is -34.539 eV for the cell shown. The value obtained for the energy of formation from the pure elements is 0.785 eV per atom. The energy above the most stable polymorph in this dataset comes out at 0 meV/atom. Its size of the total moment is 1.7 μB/cell.

The structure belongs to space group Pm-3m (No. 221); the cell edges are 5.2312, 5.2312 and 5.2312 Å and the angles 90.00°, 90.00° and 90.00°. Symmetry generates all atoms from Y at (0.0000, 0.0000, 0.5000), Hf at (0.5000, 0.5000, 0.5000) and V at (0.0000, 0.0000, 0.0000).

---

- Which formula does entry 10 have?
  Y3HfV

---

- The highest electronic total energy belongs to which entry?
  CsSr2CSe

---

- The lowest electronic total energy belongs to which entry?
  Zr2Ta

---

- Which value of size of the total moment does entry 7 give?
  8.8 μB/cell